Entry 1:
# NiBiMoPd2 (PBE, relaxed)
data_NiBiMoPd2
_symmetry_space_group_name_H-M 'P 1'
_symmetry_Int_Tables_number 1
_cell_length_a 4.714
_cell_length_b 4.714
_cell_length_c 4.384
_cell_angle_alpha 90.00
_cell_angle_beta 90.00
_cell_angle_gamma 90.00
loop_
_symmetry_equiv_pos_as_xyz
'x,y,z'
loop_
_atom_site_label
_atom_site_type_symbol
_atom_site_fract_x
_atom_site_fract_y
_atom_site_fract_z
Ni1 Ni 0.000 0.000 0.000
Mo1 Mo 0.000 0.000 0.500
Bi1 Bi 0.500 0.500 0.500
Pd1 Pd 0.000 0.500 0.000
Pd2 Pd 0.500 0.000 0.000
# ΔH_f (0 K): 0.675 eV/atom
# total DFT energy (no corrections): -5.5004 eV per atom
# SG: P4/mmm (123)
# total moment: 1.052 μB per cell

Entry 2:
# MgScSbI2 (PBE, relaxed)
data_MgScSbI2
_symmetry_space_group_name_H-M 'P 1'
_symmetry_Int_Tables_number 1
_cell_length_a 5.440
_cell_length_b 5.440
_cell_length_c 5.786
_cell_angle_alpha 90.00
_cell_angle_beta 90.00
_cell_angle_gamma 90.00
loop_
_symmetry_equiv_pos_as_xyz
'x,y,z'
loop_
_atom_site_label
_atom_site_type_symbol
_atom_site_fract_x
_atom_site_fract_y
_atom_site_fract_z
I1 I 0.000 0.500 0.000
I2 I 0.500 0.000 0.000
Sb1 Sb 0.000 0.000 0.500
Mg1 Mg 0.000 0.000 0.000
Sc1 Sc 0.500 0.500 0.500
# total DFT energy (no corrections): -2.9830 eV per atom
# SG: P4/mmm (123)
# ΔE_f (raw): 0.0467 eV per atom
# total moment: 0.201 μB per cell

Entry 3:
# BIrO3 (PBE, relaxed)
data_BIrO3
_symmetry_space_group_name_H-M 'P 1'
_symmetry_Int_Tables_number 1
_cell_length_a 3.835
_cell_length_b 3.835
_cell_length_c 3.835
_cell_angle_alpha 90.00
_cell_angle_beta 90.00
_cell_angle_gamma 90.00
loop_
_symmetry_equiv_pos_as_xyz
'x,y,z'
loop_
_atom_site_label
_atom_site_type_symbol
_atom_site_fract_x
_atom_site_fract_y
_atom_site_fract_z
B1 B 0.500 0.500 0.500
Ir1 Ir 0.000 0.000 0.000
O1 O 0.000 0.500 0.000
O2 O 0.000 0.000 0.500
O3 O 0.500 0.000 0.000
# total DFT energy (no corrections): -5.5097 eV per atom
# SG: Pm-3m (221)
# ΔE_f (raw): 0.5730 eV per atom
# total moment: 0.887 μB per cell